Density functional theory data (PBE-GGA) for a relaxed HfCr3W crystal.

Unit cell a=4.5213 b=4.5213 c=4.5213 alpha=90.00 beta=90.00 gamma=90.00
Atoms (fractional coordinates):
Cr: 0.5000 0.0000 0.0000
Cr: 0.0000 0.0000 0.5000
Cr: 0.0000 0.5000 0.0000
Hf: 0.5000 0.5000 0.5000
W: 0.0000 0.0000 0.0000

Calculated total energy = -9.05 eV/atom
Energy of formation = 1310 meV/atom
Fermi-level density of states = 0.97 states/eV/atom
Relative energy among the computed polymorphs = 0 meV per atom


Density functional theory data (PBE-GGA) for a relaxed Ga2Cu6Ni crystal.

Unit cell a=5.9980 b=4.9843 c=4.9843 alpha=57.83 beta=72.76 gamma=72.76
Atoms (fractional coordinates):
Cu: 0.2860 0.8355 0.3442
Cu: 0.5888 0.1929 0.1929
Cu: 0.2860 0.3442 0.8355
Cu: 0.7140 0.1645 0.6558
Cu: 0.4112 0.8071 0.8071
Cu: 0.7140 0.6558 0.1645
Ga: 0.1523 0.3572 0.3572
Ga: 0.8477 0.6428 0.6428
Ni: 0.0000 0.0000 0.0000

Calculated total energy = -4.00 eV/atom
Energy of formation = 42 meV/atom
Fermi-level density of states = 0.38 states/eV/atom
Relative energy among the computed polymorphs = 109 meV per atom